(1)
# Hf2AlZn3, relaxed, DFT PBE-GGA
# Uncorrected energy (eV per cell): -28.27
# V (Å³ per cell): 106.2
# Energy of formation (eV/atom): -0.13
# Excess energy over the best structure of this formula in the dataset (eV/atom): 0.163
data_Hf2AlZn3
_chemical_formula_sum 'Hf2 Al1 Zn3'
_cell_length_a 3.250
_cell_length_b 4.407
_cell_length_c 7.904
_cell_angle_alpha 106.19
_cell_angle_beta 101.86
_cell_angle_gamma 90.00
_symmetry_space_group_name_H-M 'P 1'
_symmetry_Int_Tables_number 1
_symmetry_space_group_name_Hall 'P 1'
loop_
_atom_site_label
_atom_site_type_symbol
_atom_site_fract_x
_atom_site_fract_y
_atom_site_fract_z
Al1 Al 0.467 0.967 0.933
Zn1 Zn 0.306 0.806 0.612
Zn2 Zn 0.692 0.692 0.385
Zn3 Zn 0.534 0.534 0.067
Hf1 Hf 0.145 0.145 0.290
Hf2 Hf 0.856 0.356 0.713

=====

(2)
# LiNbSb2I, relaxed, DFT PBE-GGA
# Uncorrected energy (eV per cell): -17.59
# V (Å³ per cell): 124.9
# E_form (uncorrected) (eV/f.u.): 4.190
# Excess energy over the best structure of this formula in the dataset (eV/atom): 0.717
data_LiNbSb2I
_chemical_formula_sum 'Li1 Nb1 Sb2 I1'
_cell_length_a 4.847
_cell_length_b 4.847
_cell_length_c 5.317
_cell_angle_alpha 90.00
_cell_angle_beta 90.00
_cell_angle_gamma 90.00
_symmetry_space_group_name_H-M 'P 1'
_symmetry_Int_Tables_number 1
_symmetry_space_group_name_Hall 'P 1'
loop_
_atom_site_label
_atom_site_type_symbol
_atom_site_fract_x
_atom_site_fract_y
_atom_site_fract_z
Sb1 Sb 0.500 0.000 0.000
Sb2 Sb 0.000 0.500 0.000
I1 I 0.000 0.000 0.500
Li1 Li 0.000 0.000 0.000
Nb1 Nb 0.500 0.500 0.500

=====

(3)
# SmThSb2N, relaxed, DFT PBE-GGA
# Uncorrected energy (eV per cell): -67.16
# V (Å³ per cell): 258.1
# E_form (uncorrected) (eV/f.u.): -4.869
data_SmThSb2N
_chemical_formula_sum 'Sm2 Th2 Sb4 N2'
_cell_length_a 4.193
_cell_length_b 4.193
_cell_length_c 14.681
_cell_angle_alpha 90.00
_cell_angle_beta 90.00
_cell_angle_gamma 90.00
_symmetry_space_group_name_H-M 'P 1'
_symmetry_Int_Tables_number 1
_symmetry_space_group_name_Hall 'P 1'
loop_
_atom_site_label
_atom_site_type_symbol
_atom_site_fract_x
_atom_site_fract_y
_atom_site_fract_z
Sb1 Sb 0.000 0.500 0.723
Sb2 Sb 0.000 0.500 0.150
Sb3 Sb 0.500 0.000 0.850
Sb4 Sb 0.500 0.000 0.277
Th1 Th 0.000 0.500 0.425
Th2 Th 0.500 0.000 0.575
Sm1 Sm 0.500 0.000 0.067
Sm2 Sm 0.000 0.500 0.933
N1 N 0.500 0.500 0.500
N2 N 0.000 0.000 0.500

=====

(4)
# TaAl2Rh2, relaxed, DFT PBE-GGA
# Uncorrected energy (eV per cell): -74.19
# V (Å³ per cell): 151.6
# Energy of formation (eV/atom): -0.61
# Excess energy over the best structure of this formula in the dataset (eV/atom): 0.030
data_TaAl2Rh2
_chemical_formula_sum 'Ta2 Al4 Rh4'
_cell_length_a 7.272
_cell_length_b 7.272
_cell_length_c 2.866
_cell_angle_alpha 90.00
_cell_angle_beta 90.00
_cell_angle_gamma 90.00
_symmetry_space_group_name_H-M 'P 1'
_symmetry_Int_Tables_number 1
_symmetry_space_group_name_Hall 'P 1'
loop_
_atom_site_label
_atom_site_type_symbol
_atom_site_fract_x
_atom_site_fract_y
_atom_site_fract_z
Rh1 Rh 0.358 0.858 0.000
Rh2 Rh 0.642 0.142 0.000
Rh3 Rh 0.858 0.642 0.000
Rh4 Rh 0.142 0.358 0.000
Ta1 Ta 0.500 0.500 0.000
Ta2 Ta 0.000 0.000 0.000
Al1 Al 0.654 0.846 0.500
Al2 Al 0.346 0.154 0.500
Al3 Al 0.154 0.654 0.500
Al4 Al 0.846 0.346 0.500

=====

(5)
# Cs4PmCl6, relaxed, DFT PBE-GGA
# Uncorrected energy (eV per cell): -80.61
# V (Å³ per cell): 969.3
# E_form (uncorrected) (eV/f.u.): -21.061
data_Cs4PmCl6
_chemical_formula_sum 'Cs8 Pm2 Cl12'
_cell_length_a 9.808
_cell_length_b 9.808
_cell_length_c 10.076
_cell_angle_alpha 90.00
_cell_angle_beta 90.00
_cell_angle_gamma 90.00
_symmetry_space_group_name_H-M 'P 1'
_symmetry_Int_Tables_number 1
_symmetry_space_group_name_Hall 'P 1'
loop_
_atom_site_label
_atom_site_type_symbol
_atom_site_fract_x
_atom_site_fract_y
_atom_site_fract_z
Pm1 Pm 0.000 0.000 0.500
Pm2 Pm 0.500 0.500 0.000
Cl1 Cl 0.081 0.277 0.500
Cl2 Cl 0.723 0.081 0.500
Cl3 Cl 0.500 0.500 0.726
Cl4 Cl 0.919 0.723 0.500
Cl5 Cl 0.000 0.000 0.226
Cl6 Cl 0.581 0.223 0.000
Cl7 Cl 0.223 0.419 0.000
Cl8 Cl 0.500 0.500 0.274
Cl9 Cl 0.419 0.777 0.000
Cl10 Cl 0.000 0.000 0.774
Cl11 Cl 0.777 0.581 0.000
Cl12 Cl 0.277 0.919 0.500
Cs1 Cs 0.680 0.820 0.750
Cs2 Cs 0.680 0.820 0.250
Cs3 Cs 0.320 0.180 0.250
Cs4 Cs 0.180 0.680 0.250
Cs5 Cs 0.820 0.320 0.750
Cs6 Cs 0.820 0.320 0.250
Cs7 Cs 0.180 0.680 0.750
Cs8 Cs 0.320 0.180 0.750

=====

> The highest uncorrected energy belongs to which entry?

LiNbSb2I